# LiMnFe2Pd GGA-PBE relaxed
# **Formation energy from the elements**: 1.005 eV per atom
data_LiMnFe2Pd
_cell_length_a 4.6742
_cell_length_b 4.6742
_cell_length_c 4.3629
_cell_angle_alpha 90.00
_cell_angle_beta 90.00
_cell_angle_gamma 90.00
_space_group_name_H-M_alt 'P 1'
_space_group_IT_number 1
_space_group_name_Hall 'P 1'
loop_
_atom_site_label
_atom_site_type_symbol
_atom_site_fract_x
_atom_site_fract_y
_atom_site_fract_z
Li1 Li 0.0000 0.0000 0.0000
Mn1 Mn 0.5000 0.5000 0.0000
Fe1 Fe 0.0000 0.5000 0.5000
Fe2 Fe 0.5000 0.0000 0.5000
Pd1 Pd 0.0000 0.0000 0.5000